# Rb2Sr2TcO6 | Alexandria via LeMat-Bulk | PBE-GGA | relaxed
# Fermi-level density of states (states/eV/f.u.): 6.161
# Total moment (μB/cell): 2.02
# Final energy (eV per atom): -6.063
# Crystal system: monoclinic
# Raw formation energy (eV per atom): -1.93
# Theoretical density (g cm⁻³): 4.3
data_Rb2Sr2TcO6
_chemical_formula_sum 'Rb4 Sr4 Tc2 O12'
_cell_length_a 6.164
_cell_length_b 10.359
_cell_length_c 6.824
_cell_angle_alpha 90.00
_cell_angle_beta 105.60
_cell_angle_gamma 90.00
_symmetry_space_group_name_H-M 'C 1 2/m 1'
_symmetry_Int_Tables_number 12
loop_
_symmetry_equiv_pos_as_xyz
'x,y,z'
'-x,-y,-z'
'-x,y,-z'
'x,-y,z'
'x+1/2,y+1/2,z'
'-x+1/2,-y+1/2,-z'
'-x+1/2,y+1/2,-z'
'x+1/2,-y+1/2,z'
loop_
_atom_site_label
_atom_site_type_symbol
_atom_site_fract_x
_atom_site_fract_y
_atom_site_fract_z
_atom_site_occupancy
Rb1 Rb 0.000 0.164 0.000 1
Sr1 Sr 0.000 0.337 0.500 1
Tc1 Tc 0.000 0.000 0.500 1
O1 O 0.184 0.137 0.666 1
O2 O 0.211 0.000 0.326 1